1:
# PaNi2Sn

A relaxed PaNi2Sn crystal (GGA-PBE, the Alexandria database).

Calculated values
The space-group type is P4/mmm. For the density of states at the Fermi level, the calculation gives 4.218 states/eV/f.u.

a b c (Å): 3.145 3.145 6.932
angles (deg): 90.00 90.00 90.00
Sites, in units of the cell vectors:
Ni 0.000 0.000 0.230
Sn 0.500 0.500 0.000
Ni 0.000 0.000 0.770
Pa 0.500 0.500 0.500



2:
# PaNi2Sn

A relaxed PaNi2Sn crystal (GGA-PBE, the Alexandria database).

Calculated values
The space-group type is Fm-3m. For the density of states at the Fermi level, the calculation gives 3.678 states/eV/f.u.

a b c (Å): 4.632 4.632 4.632
angles (deg): 60.00 60.00 60.00
Sites, in units of the cell vectors:
Sn 0.000 0.000 0.000
Ni 0.250 0.250 0.250
Pa 0.500 0.500 0.500
Ni 0.750 0.750 0.750



Verdict on stability: 2 comes out on top.



1:
# SrPaNi2

A relaxed SrPaNi2 crystal (GGA-PBE, the Alexandria database).

Calculated values
The space-group type is P4/mmm. For the density of states at the Fermi level, the calculation gives 2.912 states/eV/f.u.

a b c (Å): 3.468 3.468 7.269
angles (deg): 90.00 90.00 90.00
Sites, in units of the cell vectors:
Ni 0.000 0.000 0.177
Pa 0.500 0.500 0.000
Ni 0.000 0.000 0.823
Sr 0.500 0.500 0.500



2:
# SrPaNi2

A relaxed SrPaNi2 crystal (GGA-PBE, the Alexandria database).

Calculated values
The space-group type is R-3m. For the density of states at the Fermi level, the calculation gives 4.192 states/eV/f.u.

a b c (Å): 3.853 3.853 7.631
angles (deg): 75.38 75.38 60.00
Sites, in units of the cell vectors:
Ni 0.266 0.266 0.201
Sr 0.500 0.500 0.500
Pa 0.000 0.000 0.000
Ni 0.734 0.734 0.799



Verdict on stability: 1 comes out on top.



1:
# TbPa2Ni6

A relaxed TbPa2Ni6 crystal (GGA-PBE, the Alexandria database).

Calculated values
The space-group type is Immm. For the density of states at the Fermi level, the calculation gives 8.391 states/eV/f.u.

a b c (Å): 3.423 7.535 7.535
angles (deg): 54.45 76.87 76.87
Sites, in units of the cell vectors:
Ni 0.178 0.128 0.517
Ni 0.822 0.483 0.872
Ni 0.000 0.176 0.824
Ni 0.178 0.517 0.128
Tb 0.500 0.500 0.500
Pa 0.356 0.144 0.144
Ni 0.000 0.824 0.176
Pa 0.644 0.856 0.856
Ni 0.822 0.872 0.483



2:
# TbPa2Ni6

A relaxed TbPa2Ni6 crystal (GGA-PBE, the Alexandria database).

Calculated values
The space-group type is P6/mmm. For the density of states at the Fermi level, the calculation gives 10.790 states/eV/f.u.

a b c (Å): 3.383 7.170 7.170
angles (deg): 120.00 90.00 90.00
Sites, in units of the cell vectors:
Ni 0.500 0.000 0.337
Ni 0.500 0.337 0.337
Ni 0.500 0.663 0.663
Ni 0.500 0.337 0.000
Ni 0.500 0.663 0.000
Pa 0.000 0.333 0.667
Ni 0.500 0.000 0.663
Pa 0.000 0.667 0.333
Tb 0.000 0.000 0.000



Verdict on stability: 2 comes out on top.



1:
# TbPaNi

A relaxed TbPaNi crystal (GGA-PBE, the Alexandria database).

Calculated values
The space-group type is P-6m2. For the density of states at the Fermi level, the calculation gives 4.643 states/eV/f.u.

a b c (Å): 4.424 4.356 4.356
angles (deg): 120.00 90.00 90.00
Sites, in units of the cell vectors:
Pa 0.167 0.333 0.667
Tb 0.667 0.667 0.333
Ni 0.167 0.000 0.000



2:
# TbPaNi

A relaxed TbPaNi crystal (GGA-PBE, the Alexandria database).

Calculated values
The space-group type is I4mm. For the density of states at the Fermi level, the calculation gives 3.242 states/eV/f.u.

a b c (Å): 3.485 3.485 6.132
angles (deg): 106.51 106.51 90.00
Sites, in units of the cell vectors:
Tb 0.007 0.007 0.014
Ni 0.697 0.697 0.394
Pa 0.296 0.296 0.593



Verdict on stability: 2 comes out on top.



1:
# PaNiTe2

A relaxed PaNiTe2 crystal (GGA-PBE, the Alexandria database).

Calculated values
The space-group type is P2_1/c. For the density of states at the Fermi level, the calculation gives 3.692 states/eV/f.u.

a b c (Å): 7.195 8.324 8.921
angles (deg): 118.08 90.01 90.00
Sites, in units of the cell vectors:
Ni 0.321 0.565 0.628
Te 0.214 0.901 0.304
Pa 0.500 0.785 0.500
Te 0.250 0.911 0.819
Ni 0.821 0.935 0.372
Pa 0.000 0.715 0.500
Ni 0.179 0.065 0.628
Te 0.714 0.599 0.696
Pa 0.500 0.215 0.500
Ni 0.679 0.435 0.372
Te 0.786 0.099 0.696
Te 0.286 0.401 0.304
Te 0.750 0.589 0.181
Te 0.750 0.089 0.181
Pa 0.000 0.285 0.500
Te 0.250 0.411 0.819



2:
# PaNiTe2

A relaxed PaNiTe2 crystal (GGA-PBE, the Alexandria database).

Calculated values
The space-group type is R-3m. For the density of states at the Fermi level, the calculation gives 11.437 states/eV/f.u.

a b c (Å): 4.212 4.212 8.975
angles (deg): 76.43 76.43 60.00
Sites, in units of the cell vectors:
Ni 0.000 0.000 0.000
Te 0.093 0.093 0.720
Te 0.907 0.907 0.280
Pa 0.500 0.500 0.500



Verdict on stability: 1 comes out on top.



1:
# Pa2NiTe4

A relaxed Pa2NiTe4 crystal (GGA-PBE, the Alexandria database).

Calculated values
The space-group type is Cmmm. For the density of states at the Fermi level, the calculation gives 8.378 states/eV/f.u.

a b c (Å): 4.907 6.231 6.231
angles (deg): 104.16 90.00 90.00
Sites, in units of the cell vectors:
Te 0.000 0.250 0.250
Pa 0.000 0.746 0.254
Pa 0.000 0.254 0.746
Te 0.000 0.750 0.750
Ni 0.500 0.500 0.500
Te 0.500 0.500 0.000
Te 0.500 0.000 0.500



2:
# Pa2NiTe4

A relaxed Pa2NiTe4 crystal (GGA-PBE, the Alexandria database).

Calculated values
The space-group type is P2_1/m. For the density of states at the Fermi level, the calculation gives 8.809 states/eV/f.u.

a b c (Å): 7.295 6.423 8.325
angles (deg): 90.00 106.96 90.00
Sites, in units of the cell vectors:
Te 0.914 0.250 0.121
Te 0.086 0.750 0.879
Pa 0.737 0.750 0.568
Ni 0.765 0.250 0.813
Te 0.489 0.502 0.753
Ni 0.235 0.750 0.187
Pa 0.233 0.250 0.941
Pa 0.263 0.250 0.432
Te 0.078 0.750 0.412
Te 0.511 0.498 0.247
Te 0.489 0.998 0.753
Pa 0.767 0.750 0.059
Te 0.511 0.002 0.247
Te 0.922 0.250 0.588



Verdict on stability: 2 comes out on top.



1:
# ThPaNi

A relaxed ThPaNi crystal (GGA-PBE, the Alexandria database).

Calculated values
The space-group type is I4mm. For the density of states at the Fermi level, the calculation gives 4.087 states/eV/f.u.

a b c (Å): 3.528 3.528 6.204
angles (deg): 106.52 106.52 90.00
Sites, in units of the cell vectors:
Pa 0.291 0.291 0.582
Ni 0.696 0.696 0.393
Th 0.013 0.013 0.025



2:
# ThPaNi

A relaxed ThPaNi crystal (GGA-PBE, the Alexandria database).

Calculated values
The space-group type is R-3m. For the density of states at the Fermi level, the calculation gives 4.180 states/eV/f.u.

a b c (Å): 4.169 4.169 9.871
angles (deg): 77.79 102.21 119.96
Sites, in units of the cell vectors:
Pa 0.140 0.860 0.419
Ni 0.244 0.756 0.731
Pa 0.860 0.140 0.581
Th 0.374 0.626 0.124
Ni 0.756 0.244 0.269
Th 0.626 0.374 0.876



3:
# ThPaNi

A relaxed ThPaNi crystal (GGA-PBE, the Alexandria database).

Calculated values
The space-group type is P3m1. For the density of states at the Fermi level, the calculation gives 2.125 states/eV/f.u.

a b c (Å): 3.598 3.598 6.368
angles (deg): 90.00 90.00 120.00
Sites, in units of the cell vectors:
Ni 0.667 0.333 0.348
Pa 0.333 0.667 0.613
Th 0.000 0.000 0.039



Verdict on stability: 1 comes out on top.



1:
# PaTiNi

A relaxed PaTiNi crystal (GGA-PBE, the Alexandria database).

Calculated values
The space-group type is P-6m2. For the density of states at the Fermi level, the calculation gives 6.370 states/eV/f.u.

a b c (Å): 3.717 4.218 4.218
angles (deg): 120.00 90.00 90.00
Sites, in units of the cell vectors:
Pa 0.667 0.333 0.667
Ni 0.167 0.667 0.333
Ti 0.167 0.000 0.000



2:
# PaTiNi

A relaxed PaTiNi crystal (GGA-PBE, the Alexandria database).

Calculated values
The space-group type is Pmmn. For the density of states at the Fermi level, the calculation gives 4.072 states/eV/f.u.

a b c (Å): 2.875 4.998 7.595
angles (deg): 90.00 90.00 90.00
Sites, in units of the cell vectors:
Pa 0.500 0.500 0.565
Ti 0.000 0.500 0.186
Ti 0.500 0.000 0.814
Pa 0.000 0.000 0.435
Ni 0.000 0.000 0.085
Ni 0.500 0.500 0.915



Verdict on stability: 1 comes out on top.



1:
# PaTiNi2

A relaxed PaTiNi2 crystal (GGA-PBE, the Alexandria database).

Calculated values
The space-group type is R-3m. For the density of states at the Fermi level, the calculation gives 5.504 states/eV/f.u.

a b c (Å): 3.014 3.014 8.557
angles (deg): 79.86 79.86 60.00
Sites, in units of the cell vectors:
Ni 0.738 0.738 0.787
Ti 0.000 0.000 0.000
Pa 0.500 0.500 0.500
Ni 0.262 0.262 0.213



2:
# PaTiNi2

A relaxed PaTiNi2 crystal (GGA-PBE, the Alexandria database).

Calculated values
The space-group type is R-3m. For the density of states at the Fermi level, the calculation gives 5.208 states/eV/f.u.

a b c (Å): 4.240 4.239 5.033
angles (deg): 65.05 65.08 59.99
Sites, in units of the cell vectors:
Ni 0.289 0.788 0.635
Ti 0.000 0.500 0.500
Pa 0.500 0.000 0.000
Ni 0.711 0.212 0.365



3:
# PaTiNi2

A relaxed PaTiNi2 crystal (GGA-PBE, the Alexandria database).

Calculated values
The space-group type is P4/mmm. For the density of states at the Fermi level, the calculation gives 4.587 states/eV/f.u.

a b c (Å): 3.076 3.076 6.707
angles (deg): 90.00 90.00 90.00
Sites, in units of the cell vectors:
Pa 0.500 0.500 0.500
Ni 0.000 0.000 0.201
Ti 0.500 0.500 0.000
Ni 0.000 0.000 0.799



Verdict on stability: 3 comes out on top.



1:
# PaTi2Ni

A relaxed PaTi2Ni crystal (GGA-PBE, the Alexandria database).

Calculated values
The space-group type is Fm-3m. For the density of states at the Fermi level, the calculation gives 5.986 states/eV/f.u.

a b c (Å): 4.543 4.543 4.544
angles (deg): 60.00 60.00 60.00
Sites, in units of the cell vectors:
Pa 0.500 0.500 0.500
Ti 0.750 0.750 0.750
Ni 0.000 0.000 0.000
Ti 0.250 0.250 0.250



2:
# PaTi2Ni

A relaxed PaTi2Ni crystal (GGA-PBE, the Alexandria database).

Calculated values
The space-group type is F-43m. For the density of states at the Fermi level, the calculation gives 6.196 states/eV/f.u.

a b c (Å): 4.599 4.599 4.603
angles (deg): 60.03 60.03 60.00
Sites, in units of the cell vectors:
Ni 0.750 0.750 0.750
Ti 0.250 0.250 0.250
Pa 0.500 0.500 0.500
Ti 0.000 0.000 0.000



3:
# PaTi2Ni

A relaxed PaTi2Ni crystal (GGA-PBE, the Alexandria database).

Calculated values
The space-group type is P4/mmm. For the density of states at the Fermi level, the calculation gives 9.460 states/eV/f.u.

a b c (Å): 3.016 3.016 7.660
angles (deg): 90.00 90.00 90.00
Sites, in units of the cell vectors:
Ni 0.500 0.500 0.000
Ti 0.000 0.000 0.801
Pa 0.500 0.500 0.500
Ti 0.000 0.000 0.199



Verdict on stability: 3 comes out on top.



1:
# PaTlNi

A relaxed PaTlNi crystal (GGA-PBE, the Alexandria database).

Calculated values
The space-group type is P4_2/m. For the density of states at the Fermi level, the calculation gives 3.620 states/eV/f.u.

a b c (Å): 3.465 9.208 9.208
angles (deg): 90.00 90.00 90.00
Sites, in units of the cell vectors:
Pa 0.500 0.713 0.544
Pa 0.000 0.544 0.287
Ni 0.500 0.756 0.256
Tl 0.500 0.318 0.024
Pa 0.000 0.456 0.713
Pa 0.500 0.287 0.456
Ni 0.000 0.744 0.756
Tl 0.000 0.024 0.682
Ni 0.500 0.244 0.744
Tl 0.000 0.976 0.318
Tl 0.500 0.682 0.976
Ni 0.000 0.256 0.244



2:
# PaTlNi

A relaxed PaTlNi crystal (GGA-PBE, the Alexandria database).

Calculated values
The space-group type is F-43m. For the density of states at the Fermi level, the calculation gives 1.660 states/eV/f.u.

a b c (Å): 4.571 4.571 4.571
angles (deg): 60.00 60.00 60.00
Sites, in units of the cell vectors:
Pa 0.000 0.000 0.000
Tl 0.500 0.500 0.500
Ni 0.250 0.250 0.250



Verdict on stability: 2 comes out on top.



1:
# TmPaNi2

A relaxed TmPaNi2 crystal (GGA-PBE, the Alexandria database).

Calculated values
The space-group type is Fm-3m. For the density of states at the Fermi level, the calculation gives 5.814 states/eV/f.u.

a b c (Å): 4.737 4.737 4.737
angles (deg): 60.00 60.00 60.00
Sites, in units of the cell vectors:
Pa 0.500 0.500 0.500
Tm 0.000 0.000 0.000
Ni 0.750 0.750 0.750
Ni 0.250 0.250 0.250



2:
# TmPaNi2

A relaxed TmPaNi2 crystal (GGA-PBE, the Alexandria database).

Calculated values
The space-group type is P4/mmm. For the density of states at the Fermi level, the calculation gives 4.620 states/eV/f.u.

a b c (Å): 3.361 3.361 6.738
angles (deg): 90.00 90.00 90.00
Sites, in units of the cell vectors:
Ni 0.000 0.000 0.276
Ni 0.000 0.000 0.724
Tm 0.500 0.500 0.000
Pa 0.500 0.500 0.500



3:
# TmPaNi2

A relaxed TmPaNi2 crystal (GGA-PBE, the Alexandria database).

Calculated values
The space-group type is Pm. For the density of states at the Fermi level, the calculation gives 3.280 states/eV/f.u.

a b c (Å): 3.467 4.298 5.409
angles (deg): 90.00 108.77 90.00
Sites, in units of the cell vectors:
Ni 0.005 0.000 0.550
Ni 0.170 0.500 0.878
Pa 0.715 0.000 0.968
Tm 0.441 0.500 0.422



Verdict on stability: 3 comes out on top.